Computed, not measured: AcMgZn2Ir2 after structural relaxation at the PBE-GGA level of DFT.

Cell: 4.3685 4.3685 7.2382 Å, 90.00 90.00 120.00°
With the nearest neighbours (Å) after each atom.
Space group P-3m1 (No. 164)
One atom of each set of equivalent atoms:
Ac  0.0000  0.0000  0.0000 [1 per cell]  6 Ir 3.28, 6 Zn 3.49, 2 Mg 3.62
Mg  0.0000  0.0000  0.5000 [1 per cell]  6 Zn 2.80, 6 Ir 2.95
Zn  0.3333  0.6667  0.3324 [2 per cell]  4 Ir 2.54-2.74, 3 Mg 2.80
Ir  0.3333  0.6667  0.7104 [2 per cell]  4 Zn 2.54-2.74

Formation energy = -0.431 eV/atom